Entry 1:
meta-GGA SCAN BaTl2Bi2, single point on PBEsol structure; energy of formation = -2.22 eV per formula unit; E = -68.729 eV per atom; D(E_F) = 1.38 states/eV/f.u.
1.0
-2.4628 2.4628 7.3868
2.4628 -2.4628 7.3868
2.4628 2.4628 -7.3868
Ba Tl Bi
1 2 2
direct
0.0000 0.0000 0.0000
0.2500 0.7500 0.5000
0.7500 0.2500 0.5000
0.3966 0.3966 0.0000
0.6034 0.6034 0.0000

=====

Entry 2:
meta-GGA SCAN BaTlBi3, single point on PBEsol structure; energy of formation = 3.43 eV per formula unit; E = -68.843 eV per atom; D(E_F) = 4.35 states/eV/f.u.
1.0
6.2326 0.0000 0.0000
0.0000 6.2326 0.0000
0.0000 0.0000 6.2326
Ba Tl Bi
1 1 3
direct
0.0000 0.0000 0.0000
0.5000 0.5000 0.5000
0.0000 0.0000 0.5000
0.0000 0.5000 0.0000
0.5000 0.0000 0.0000

=====

Entry 3:
meta-GGA SCAN BaBi2W, single point on PBEsol structure; energy of formation = 2.64 eV per formula unit; E = -65.939 eV per atom; D(E_F) = 3.03 states/eV/f.u.
1.0
0.0000 3.7460 3.7460
3.7460 0.0000 3.7460
3.7460 3.7460 0.0000
Ba Bi W
1 2 1
direct
0.0000 0.0000 0.0000
0.2500 0.2500 0.2500
0.7500 0.7500 0.7500
0.5000 0.5000 0.5000

=====

Entry 4:
meta-GGA SCAN BaY2Bi2, single point on PBEsol structure; energy of formation = -3.28 eV per formula unit; E = -51.135 eV per atom; D(E_F) = 1.83 states/eV/f.u.
1.0
-2.9192 2.9192 5.5488
2.9192 -2.9192 5.5488
2.9192 2.9192 -5.5488
Ba Y Bi
1 2 2
direct
0.0000 0.0000 0.0000
0.3322 0.3322 0.0000
0.6678 0.6678 0.0000
0.2500 0.7500 0.5000
0.7500 0.2500 0.5000

=====

What is the energy of formation in the third record? 2.64 eV per formula unit